1.
This record from the Alexandria database describes an optimized crystal structure of LiCO2. The functional is PBE.

The formation energy (no corrections) is -444 kJ/mol of formula units. Its size of the total moment is 0.25 μB/atom.

The structure belongs to space group P2_1/m (No. 11); the cell edges are 3.109, 5.070 and 6.174 Å and the angles 90.00°, 92.26° and 90.00°. Symmetry generates all atoms from Li at (0.240, 0.250, 0.242), C at (0.241, 0.250, 0.819) and O at (0.257, 0.024, 0.739).


2.
This record from the Alexandria database describes an optimized crystal structure of Li2CO4. The functional is PBE.

The formation energy (no corrections) is -900 kJ/mol of formula units. Its size of the total moment is 0.00 μB/atom. The calculation puts the distance to the lowest polymorph of the same formula at 0 meV per atom.

The structure belongs to space group P2_1/m (No. 11); the cell edges are 4.881, 5.636 and 5.113 Å and the angles 90.00°, 114.37° and 90.00°. Symmetry generates all atoms from Li at (0.137, 0.250, 0.051), Li at (0.193, 0.750, 0.588), C at (0.451, 0.250, 0.708), O at (0.224, 0.250, 0.459), O at (0.270, 0.750, 0.245) and O at (0.368, 0.033, 0.865).


3.
This record from the Alexandria database describes an optimized crystal structure of LiCO2. The functional is PBE.

The formation energy (no corrections) is -315 kJ/mol of formula units. Its size of the total moment is 0.00 μB/atom.

The structure belongs to space group R-3m (No. 166, hexagonal axes); the cell edges are 2.7900, 2.7900 and 14.6897 Å and the angles 90.00°, 90.00° and 120.00°. Symmetry generates all atoms from Li at (0.0000, 0.0000, 0.0000), C at (0.0000, 0.0000, 0.5000) and O at (0.0000, 0.0000, 0.4148).


4.
This record from the Alexandria database describes an optimized crystal structure of LiCO2. The functional is PBE.

The formation energy (no corrections) is -624 kJ/mol of formula units. Its size of the total moment is 0.00 μB/atom.

The structure belongs to space group P2_1/c (No. 14); the cell edges are 3.979, 4.874 and 9.889 Å and the angles 90.00°, 112.27° and 90.00°. Symmetry generates all atoms from Li at (0.210, 0.006, 0.212), C at (0.381, 0.628, 0.001), O at (0.165, 0.715, 0.878) and O at (0.425, 0.726, 0.125).


- Number 3 is which compound?
  LiCO2


Copy entry 3 word for word.
This record from the Alexandria database describes an optimized crystal structure of LiCO2. The functional is PBE.

The formation energy (no corrections) is -315 kJ/mol of formula units. Its size of the total moment is 0.00 μB/atom.

The structure belongs to space group R-3m (No. 166, hexagonal axes); the cell edges are 2.7900, 2.7900 and 14.6897 Å and the angles 90.00°, 90.00° and 120.00°. Symmetry generates all atoms from Li at (0.0000, 0.0000, 0.0000), C at (0.0000, 0.0000, 0.5000) and O at (0.0000, 0.0000, 0.4148).